(1)
DFT (PBE) results for a geometry-optimized CoNiIr structure.

Structure (CIF):
```
data_CoNiIr
_chemical_formula_sum 'Co2 Ni2 Ir2'
_space_group_name_H-M_alt 'P 1'
_space_group_IT_number 1
_space_group_name_Hall 'P 1'
_cell_length_a 4.470
_cell_length_b 4.470
_cell_length_c 7.222
_cell_angle_alpha 113.79
_cell_angle_beta 113.79
_cell_angle_gamma 34.15
loop_
_atom_site_label
_atom_site_fract_x
_atom_site_fract_y
_atom_site_fract_z
Co1 0.167 0.167 0.083
Co2 0.833 0.833 0.917
Ni1 0.167 0.167 0.583
Ni2 0.833 0.833 0.417
Ir1 0.498 0.498 0.246
Ir2 0.502 0.502 0.754
```

## Properties
V ... 12.2 Å³/atom
Raw total energy ... -7.212 eV per atom
Formation enthalpy at 0 K ... 0.038 eV per atom
Theoretical density ... 14.009 g/cm³

(2)
DFT (PBE) results for a geometry-optimized Co2NiIr structure.

Structure (CIF):
```
data_Co2NiIr
_chemical_formula_sum 'Co2 Ni1 Ir1'
_space_group_name_H-M_alt 'P 1'
_space_group_IT_number 1
_space_group_name_Hall 'P 1'
_cell_length_a 4.436
_cell_length_b 4.436
_cell_length_c 4.436
_cell_angle_alpha 131.50
_cell_angle_beta 131.50
_cell_angle_gamma 71.03
loop_
_atom_site_label
_atom_site_fract_x
_atom_site_fract_y
_atom_site_fract_z
Co1 0.250 0.750 0.500
Co2 0.750 0.250 0.500
Ni1 0.000 0.000 0.000
Ir1 0.500 0.500 0.000
```

## Properties
V ... 12.0 Å³/atom
Raw total energy ... -7.180 eV per atom
Formation enthalpy at 0 K ... 0.034 eV per atom
Theoretical density ... 12.772 g/cm³

(3)
DFT (PBE) results for a geometry-optimized CoNi2Ir structure.

Structure (CIF):
```
data_CoNi2Ir
_chemical_formula_sum 'Co1 Ni2 Ir1'
_space_group_name_H-M_alt 'P 1'
_space_group_IT_number 1
_space_group_name_Hall 'P 1'
_cell_length_a 4.449
_cell_length_b 4.449
_cell_length_c 2.591
_cell_angle_alpha 90.00
_cell_angle_beta 90.00
_cell_angle_gamma 109.77
loop_
_atom_site_label
_atom_site_fract_x
_atom_site_fract_y
_atom_site_fract_z
Co1 0.000 0.000 0.000
Ni1 0.000 0.500 0.500
Ni2 0.500 0.000 0.500
Ir1 0.500 0.500 0.000
```

## Properties
V ... 12.1 Å³/atom
Raw total energy ... -6.849 eV per atom
Formation enthalpy at 0 K ... 0.034 eV per atom
Theoretical density ... 12.680 g/cm³

(4)
DFT (PBE) results for a geometry-optimized Co2NiIr structure.

Structure (CIF):
```
data_Co2NiIr
_chemical_formula_sum 'Co2 Ni1 Ir1'
_space_group_name_H-M_alt 'P 1'
_space_group_IT_number 1
_space_group_name_Hall 'P 1'
_cell_length_a 2.605
_cell_length_b 2.605
_cell_length_c 7.071
_cell_angle_alpha 90.00
_cell_angle_beta 90.00
_cell_angle_gamma 90.00
loop_
_atom_site_label
_atom_site_fract_x
_atom_site_fract_y
_atom_site_fract_z
Co1 0.000 0.000 0.000
Co2 0.500 0.500 0.233
Ni1 0.500 0.500 0.759
Ir1 0.000 0.000 0.494
```

## Properties
V ... 12.0 Å³/atom
Raw total energy ... -7.154 eV per atom
Formation enthalpy at 0 K ... 0.060 eV per atom
Theoretical density ... 12.762 g/cm³

(5)
DFT (PBE) results for a geometry-optimized CoNi6Ir structure.

Structure (CIF):
```
data_CoNi6Ir
_chemical_formula_sum 'Co4 Ni24 Ir4'
_space_group_name_H-M_alt 'P 1'
_space_group_IT_number 1
_space_group_name_Hall 'P 1'
_cell_length_a 6.197
_cell_length_b 6.197
_cell_length_c 10.148
_cell_angle_alpha 90.00
_cell_angle_beta 90.00
_cell_angle_gamma 109.73
loop_
_atom_site_label
_atom_site_fract_x
_atom_site_fract_y
_atom_site_fract_z
Co1 0.000 0.000 0.247
Co2 0.000 0.000 0.753
Co3 0.251 0.749 0.000
Co4 0.749 0.251 0.000
Ni1 0.000 0.000 0.000
Ni2 0.000 0.000 0.500
Ni3 0.120 0.372 0.122
Ni4 0.120 0.372 0.878
Ni5 0.122 0.370 0.371
Ni6 0.122 0.370 0.629
Ni7 0.248 0.752 0.245
Ni8 0.248 0.752 0.755
Ni9 0.370 0.122 0.371
Ni10 0.370 0.122 0.629
Ni11 0.372 0.120 0.122
Ni12 0.372 0.120 0.878
Ni13 0.500 0.500 0.000
Ni14 0.500 0.500 0.500
Ni15 0.628 0.880 0.122
Ni16 0.628 0.880 0.878
Ni17 0.630 0.878 0.371
Ni18 0.630 0.878 0.629
Ni19 0.752 0.248 0.245
Ni20 0.752 0.248 0.755
Ni21 0.878 0.630 0.371
Ni22 0.878 0.630 0.629
Ni23 0.880 0.628 0.122
Ni24 0.880 0.628 0.878
Ir1 0.250 0.750 0.500
Ir2 0.500 0.500 0.248
Ir3 0.500 0.500 0.752
Ir4 0.750 0.250 0.500
```

## Properties
V ... 11.5 Å³/atom
Raw total energy ... -6.298 eV per atom
Formation enthalpy at 0 K ... 0.034 eV per atom
Theoretical density ... 10.924 g/cm³

(6)
DFT (PBE) results for a geometry-optimized CoNi3Ir2 structure.

Structure (CIF):
```
data_CoNi3Ir2
_chemical_formula_sum 'Co2 Ni6 Ir4'
_space_group_name_H-M_alt 'P 1'
_space_group_IT_number 1
_space_group_name_Hall 'P 1'
_cell_length_a 8.545
_cell_length_b 8.124
_cell_length_c 4.501
_cell_angle_alpha 79.56
_cell_angle_beta 69.23
_cell_angle_gamma 31.20
loop_
_atom_site_label
_atom_site_fract_x
_atom_site_fract_y
_atom_site_fract_z
Co1 0.125 0.125 0.125
Co2 0.875 0.875 0.875
Ni1 0.208 0.208 0.542
Ni2 0.375 0.375 0.375
Ni3 0.458 0.458 0.792
Ni4 0.542 0.542 0.208
Ni5 0.625 0.625 0.625
Ni6 0.792 0.792 0.458
Ir1 0.043 0.043 0.707
Ir2 0.293 0.293 0.957
Ir3 0.707 0.707 0.043
Ir4 0.957 0.957 0.293
```

## Properties
V ... 12.2 Å³/atom
Raw total energy ... -7.008 eV per atom
Formation enthalpy at 0 K ... 0.021 eV per atom
Theoretical density ... 14.045 g/cm³